# 1
The following is a DFT calculation (GGA-PBE) of a relaxed LiTl2Pd8 crystal.

Cell lengths 4.558, 6.194, 7.573 Å; angles 114.14, 107.51, 90.00 degrees
Sites, in units of the cell vectors:
Li (0.500, 0.000, 0.000)
Tl (0.189, 0.689, 0.378)
Tl (0.811, 0.311, 0.622)
Pd (0.636, 0.869, 0.272)
Pd (0.364, 0.597, 0.728)
Pd (0.169, 0.169, 0.338)
Pd (0.000, 0.262, 0.000)
Pd (0.831, 0.831, 0.662)
Pd (0.636, 0.403, 0.272)
Pd (0.364, 0.131, 0.728)
Pd (0.000, 0.738, 0.000)

Output
The calculation puts the density of states at the Fermi level at 0.601 states/eV/atom. The formation energy from the elements is -136 meV per atom. The calculation puts the offset from the most stable computed form at 0.50 eV/f.u. As for the calculated total energy: -4.517 eV/atom. The space-group type is Immm (71). For the theoretical density, the calculation gives 11.42 g cm⁻³.

# 2
The following is a DFT calculation (GGA-PBE) of a relaxed LiTlPd3 crystal.

Cell lengths 4.020, 6.987, 8.480 Å; angles 125.24, 90.30, 106.33 degrees
Sites, in units of the cell vectors:
Li (0.416, 0.838, 0.578)
Li (0.584, 0.162, 0.422)
Tl (0.130, 0.268, 0.799)
Tl (0.870, 0.732, 0.201)
Pd (0.240, 0.476, 0.604)
Pd (0.599, 0.203, 0.992)
Pd (0.080, 0.159, 0.205)
Pd (0.760, 0.524, 0.396)
Pd (0.920, 0.841, 0.795)
Pd (0.401, 0.797, 0.008)

Output
The calculation puts the density of states at the Fermi level at 0.495 states/eV/atom. The formation energy from the elements is -180 meV per atom. The calculation puts the offset from the most stable computed form at 0.16 eV/f.u. As for the calculated total energy: -4.152 eV/atom. The space-group type is P-1 (2). For the theoretical density, the calculation gives 9.66 g cm⁻³.

# 3
The following is a DFT calculation (GGA-PBE) of a relaxed LiTlPd crystal.

Cell lengths 3.444, 3.444, 5.076 Å; angles 109.83, 109.83, 90.00 degrees
Sites, in units of the cell vectors:
Tl (0.616, 0.616, 0.233)
Pd (0.938, 0.938, 0.876)
Li (0.295, 0.295, 0.591)

Output
The calculation puts the density of states at the Fermi level at 0.348 states/eV/atom. The formation energy from the elements is -321 meV per atom. The calculation puts the offset from the most stable computed form at 0.01 eV/f.u. As for the calculated total energy: -3.479 eV/atom. The space-group type is I4mm (107). For the theoretical density, the calculation gives 9.99 g cm⁻³.

# 4
The following is a DFT calculation (GGA-PBE) of a relaxed LiTlPd crystal.

Cell lengths 4.509, 4.509, 4.509 Å; angles 60.00, 60.00, 60.00 degrees
Sites, in units of the cell vectors:
Tl (0.500, 0.500, 0.500)
Pd (0.250, 0.250, 0.250)
Li (0.000, 0.000, 0.000)

Output
The calculation puts the density of states at the Fermi level at 0.619 states/eV/atom. The formation energy from the elements is -217 meV per atom. The calculation puts the offset from the most stable computed form at 0.32 eV/f.u. As for the calculated total energy: -3.375 eV/atom. The space-group type is F-43m (216). For the theoretical density, the calculation gives 8.14 g cm⁻³.

# 5
The following is a DFT calculation (GGA-PBE) of a relaxed LiTlPd crystal.

Cell lengths 4.533, 4.533, 5.715 Å; angles 90.00, 90.00, 119.99 degrees
Sites, in units of the cell vectors:
Li (0.333, 0.167, 0.750)
Li (0.667, 0.833, 0.250)
Tl (0.667, 0.833, 0.750)
Tl (0.333, 0.167, 0.250)
Pd (0.000, 0.500, 0.500)
Pd (0.000, 0.500, 0.000)

Output
The calculation puts the density of states at the Fermi level at 0.393 states/eV/atom. The formation energy from the elements is -325 meV per atom. The calculation puts the offset from the most stable computed form at 0.00 eV/f.u. As for the calculated total energy: -3.482 eV/atom. The space-group type is P6_3/mmc (194). For the theoretical density, the calculation gives 10.37 g cm⁻³.

# 6
The following is a DFT calculation (GGA-PBE) of a relaxed Li4TlPd7 crystal.

Cell lengths 4.987, 8.444, 5.667 Å; angles 81.30, 63.89, 72.82 degrees
Sites, in units of the cell vectors:
Li (0.590, 0.233, 0.586)
Li (0.410, 0.767, 0.414)
Li (0.723, 0.686, 0.868)
Li (0.277, 0.314, 0.132)
Tl (0.000, 0.000, 0.000)
Pd (0.789, 0.917, 0.505)
Pd (0.211, 0.083, 0.495)
Pd (0.042, 0.615, 0.300)
Pd (0.958, 0.385, 0.700)
Pd (0.347, 0.536, 0.770)
Pd (0.500, 0.000, 0.000)
Pd (0.653, 0.464, 0.230)

Output
The calculation puts the density of states at the Fermi level at 0.486 states/eV/atom. The formation energy from the elements is -111 meV per atom. As for the calculated total energy: -3.976 eV/atom. The space-group type is C2/m (12). For the theoretical density, the calculation gives 7.93 g cm⁻³.

# 7
The following is a DFT calculation (GGA-PBE) of a relaxed LiTl4Pd15 crystal.

Cell lengths 4.062, 4.062, 20.099 Å; angles 90.00, 90.00, 90.00 degrees
Sites, in units of the cell vectors:
Li (0.000, 0.000, 0.000)
Tl (0.000, 0.000, 0.193)
Tl (0.000, 0.000, 0.398)
Tl (0.000, 0.000, 0.602)
Tl (0.000, 0.000, 0.807)
Pd (0.500, 0.500, 0.000)
Pd (0.500, 0.500, 0.192)
Pd (0.500, 0.500, 0.397)
Pd (0.500, 0.500, 0.603)
Pd (0.500, 0.500, 0.808)
Pd (0.500, 0.000, 0.091)
Pd (0.500, 0.000, 0.295)
Pd (0.500, 0.000, 0.500)
Pd (0.500, 0.000, 0.705)
Pd (0.500, 0.000, 0.909)
Pd (0.000, 0.500, 0.091)
Pd (0.000, 0.500, 0.295)
Pd (0.000, 0.500, 0.500)
Pd (0.000, 0.500, 0.705)
Pd (0.000, 0.500, 0.909)

Output
The calculation puts the density of states at the Fermi level at 1.233 states/eV/atom. The formation energy from the elements is -185 meV per atom. As for the calculated total energy: -4.649 eV/atom. The space-group type is P4/mmm (123). For the theoretical density, the calculation gives 12.12 g cm⁻³.

# 8
The following is a DFT calculation (GGA-PBE) of a relaxed Li6TlPd crystal.

Cell lengths 7.056, 7.056, 11.600 Å; angles 90.00, 90.00, 110.96 degrees
Sites, in units of the cell vectors:
Li (0.754, 0.246, 0.513)
Li (0.645, 0.886, 0.384)
Li (0.355, 0.114, 0.384)
Li (0.246, 0.754, 0.513)
Li (0.114, 0.355, 0.384)
Li (0.886, 0.645, 0.384)
Li (0.500, 0.500, 0.750)
Li (0.365, 0.106, 0.632)
Li (0.106, 0.365, 0.632)
Li (0.754, 0.246, 0.987)
Li (0.635, 0.894, 0.868)
Li (0.365, 0.106, 0.868)
Li (0.246, 0.754, 0.987)
Li (0.106, 0.365, 0.868)
Li (0.894, 0.635, 0.868)
Li (0.500, 0.500, 0.250)
Li (0.355, 0.114, 0.116)
Li (0.114, 0.355, 0.116)
Li (0.000, 0.000, 0.750)
Li (0.894, 0.635, 0.632)
Li (0.635, 0.894, 0.632)
Li (0.000, 0.000, 0.250)
Li (0.886, 0.645, 0.116)
Li (0.645, 0.886, 0.116)
Tl (0.744, 0.256, 0.250)
Tl (0.256, 0.744, 0.250)
Tl (0.500, 0.500, 0.506)
Tl (0.500, 0.500, 0.994)
Pd (0.740, 0.260, 0.750)
Pd (0.260, 0.740, 0.750)
Pd (0.000, 0.000, 0.508)
Pd (0.000, 0.000, 0.992)

Output
The calculation puts the density of states at the Fermi level at 0.425 states/eV/atom. The formation energy from the elements is -220 meV per atom. The calculation puts the offset from the most stable computed form at 0.03 eV/f.u. As for the calculated total energy: -2.601 eV/atom. The space-group type is Cmmm (65). For the theoretical density, the calculation gives 4.34 g cm⁻³.